Entry from OQMD: a geometry-optimized ZnCo2Ge structure (GGA-PBE).

Cell and atoms, written as POSCAR:
```
ZnCo2Ge
1.0
-1.468 1.269 -2.131
-0.915 -2.578 -0.906
-4.603 0.430 3.427
Co Ge Zn
2 1 1
Direct
0.500 0.500 0.266
0.500 0.500 0.734
0.000 0.000 0.500
0.000 0.000 0.000
```

- Energy relative to the lowest polymorph listed for this composition: 23 meV/atom
- Symmetry: P4/mmm, No. 123